Arrangement A

First-principles (GGA-PBE) data for a relaxed RbAlIr crystal, as listed in the Open Quantum Materials Database.

Cell: 5.090 5.090 5.090 Å, 60.00 60.00 60.00°
Fractional positions:
Al 0.250 0.250 0.250
Ir 0.750 0.750 0.750
Rb 0.000 0.000 0.000

Arrangement B

First-principles (GGA-PBE) data for a relaxed RbAlIr crystal, as listed in the Open Quantum Materials Database.

Cell: 4.738 4.738 4.738 Å, 60.00 60.00 60.00°
Fractional positions:
Al 0.250 0.250 0.250
Ir 0.000 0.000 0.000
Rb 0.750 0.750 0.750

Arrangement C

First-principles (GGA-PBE) data for a relaxed RbAlIr crystal, as listed in the Open Quantum Materials Database.

Cell: 4.726 4.726 4.726 Å, 60.00 60.00 60.00°
Fractional positions:
Al 0.000 0.000 0.000
Ir 0.250 0.250 0.250
Rb 0.750 0.750 0.750

Here is how they stack up, most stable first: arrangement B, arrangement C, arrangement A.